1.
First-principles (PBE) data for a geometry-optimized Pu2Zn6Pd structure, as listed in Alexandria via LeMat-Bulk.

Computed properties:
- energy of formation from the pure elements (eV per atom) = -0.208

abc: 5.7468 5.7809 5.7809
angles: 120.00 90.00 90.00
Last column: nearest neighbours and their distance in Å.
Fractional positions:
Zn 0.3344 0.3554 0.1777  4 Zn 2.61-2.70, 1 Pd 2.62
Zn 0.6656 0.1777 0.3554  4 Zn 2.61-2.70, 1 Pd 2.62
Zn 0.6656 0.6446 0.8223  4 Zn 2.61-2.70, 1 Pd 2.62
Zn 0.3344 0.8223 0.1777  4 Zn 2.61-2.70, 1 Pd 2.62
Zn 0.6656 0.1777 0.8223  4 Zn 2.61-2.70, 1 Pd 2.62
Zn 0.3344 0.8223 0.6446  4 Zn 2.61-2.70, 1 Pd 2.62
Pu 0.8543 0.6666 0.3333  12 Zn 3.09-3.37, 3 Pd 3.44
Pu 0.1457 0.3334 0.6667  12 Zn 3.09-3.37, 3 Pd 3.44
Pd 0.0000 0.0000 0.0000  6 Zn 2.62

2.
First-principles (PBE) data for a geometry-optimized NaAlTe2 structure, as listed in Alexandria via LeMat-Bulk.

Computed properties:
- energy relative to the elements, uncorrected (meV per atom) = -649

abc: 17.5715 5.2419 6.9486
angles: 90.00 127.02 90.00
Last column: nearest neighbours and their distance in Å.
Fractional positions:
Te 0.3880 0.7623 0.3259  2 Al 2.65-2.66
Te 0.6120 0.2377 0.6741  2 Al 2.65-2.66
Te 0.1120 0.2623 0.1741  2 Al 2.65-2.66
Te 0.8880 0.2623 0.3258  2 Al 2.65-2.66
Te 0.6120 0.7623 0.1742  2 Al 2.65-2.66
Te 0.1120 0.7377 0.6742  2 Al 2.65-2.66
Te 0.8880 0.7377 0.8259  2 Al 2.65-2.66
Te 0.3880 0.2377 0.8258  2 Al 2.65-2.66
Al 0.0000 0.5084 0.2501  4 Te 2.65-2.66
Al 0.0000 0.4916 0.7500  4 Te 2.65-2.66
Al 0.5000 0.0084 0.2500  4 Te 2.65-2.66
Al 0.5000 0.9916 0.7501  4 Te 2.65-2.66
Na 0.2499 0.7502 0.4997  6 Te 3.30-3.41
Na 0.7501 0.2498 0.5003  6 Te 3.30-3.41
Na 0.2501 0.2502 0.0003  6 Te 3.30-3.41
Na 0.7499 0.7498 0.9997  6 Te 3.30-3.41

3.
First-principles (PBE) data for a geometry-optimized SrEuI2 structure, as listed in Alexandria via LeMat-Bulk.

Computed properties:
- energy relative to the elements, uncorrected (meV per atom) = -1096

abc: 4.4687 4.4687 11.3593
angles: 78.66 78.66 60.00
Last column: nearest neighbours and their distance in Å.
Fractional positions:
Sr 0.0000 0.0000 0.0000  2 I 3.55
I 0.8931 0.8931 0.3207  3 Eu 3.25, 1 Sr 3.55
I 0.1069 0.1069 0.6793  3 Eu 3.25, 1 Sr 3.55
Eu 0.5000 0.5000 0.5000  6 I 3.25

4.
First-principles (PBE) data for a geometry-optimized SrMnIr2 structure, as listed in Alexandria via LeMat-Bulk.

Computed properties:
- energy of formation from the pure elements (eV per atom) = 0.865

abc: 4.6175 4.6175 4.6175
angles: 60.00 60.00 60.00
Last column: nearest neighbours and their distance in Å.
Fractional positions:
Mn 0.0000 0.0000 0.0000  8 Ir 2.83
Ir 0.2500 0.2500 0.2500  4 Mn 2.83, 4 Sr 2.83
Ir 0.7500 0.7500 0.7500  4 Mn 2.83, 4 Sr 2.83
Sr 0.5000 0.5000 0.5000  8 Ir 2.83

5.
First-principles (PBE) data for a geometry-optimized MoH3Br structure, as listed in Alexandria via LeMat-Bulk.

Computed properties:
- electronic total energy (eV for the cell shown) = -19.32

abc: 3.7732 3.7732 3.7732
angles: 90.00 90.00 90.00
Last column: nearest neighbours and their distance in Å.
Fractional positions:
Mo 0.0000 0.0000 0.0000  6 H 1.89
H 0.0000 0.0000 0.5000  2 Mo 1.89
H 0.5000 0.0000 0.0000  2 Mo 1.89
H 0.0000 0.5000 0.0000  2 Mo 1.89
Br 0.5000 0.5000 0.5000  12 H 2.67

6.
First-principles (PBE) data for a geometry-optimized CaCeEuGeO6 structure, as listed in Alexandria via LeMat-Bulk.

Computed properties:
- energy relative to the elements, uncorrected (meV per atom) = -2606

abc: 5.8059 5.8059 5.8059
angles: 60.00 60.00 60.00
Last column: nearest neighbours and their distance in Å.
Fractional positions:
O 0.7319 0.2681 0.7319  1 Ge 1.90
O 0.2681 0.7319 0.7319  1 Ge 1.90
O 0.2681 0.7319 0.2681  1 Ge 1.90
O 0.2681 0.2681 0.7319  1 Ge 1.90
O 0.7319 0.2681 0.2681  1 Ge 1.90
O 0.7319 0.7319 0.2681  1 Ge 1.90
Ca 0.2500 0.2500 0.2500  12 O 2.91
Ce 0.0000 0.0000 0.0000  6 O 2.20
Ge 0.5000 0.5000 0.5000  6 O 1.90
Eu 0.7500 0.7500 0.7500  12 O 2.91

7.
First-principles (PBE) data for a geometry-optimized TaBRu3 structure, as listed in Alexandria via LeMat-Bulk.

Computed properties:
- energy of formation from the pure elements (eV per atom) = 0.792

abc: 7.0673 7.0673 4.6849
angles: 90.00 90.00 124.96
Last column: nearest neighbours and their distance in Å.
Fractional positions:
Ru 0.6155 0.9548 0.2500  1 B 1.96
Ru 0.0452 0.3845 0.2500  1 B 1.96
Ru 0.3845 0.0452 0.7500  1 B 1.96
Ru 0.0000 0.0000 0.0000  2 Ru 2.34
Ru 0.0000 0.0000 0.5000  2 Ru 2.34
Ru 0.9548 0.6155 0.7500  1 B 1.96
B 0.6203 0.3797 0.7500  2 Ru 1.96
B 0.3797 0.6203 0.2500  2 Ru 1.96
Ta 0.8090 0.1910 0.7500  1 B 2.37, 2 Ru 2.55
Ta 0.1910 0.8090 0.2500  1 B 2.37, 2 Ru 2.55

8.
First-principles (PBE) data for a geometry-optimized KNb2Al structure, as listed in Alexandria via LeMat-Bulk.

Computed properties:
- energy of formation from the pure elements (eV per atom) = 1.248

abc: 4.8838 4.8838 10.8101
angles: 76.94 76.94 90.00
Last column: nearest neighbours and their distance in Å.
Fractional positions:
Al 0.5000 0.5000 0.0000  4 Nb 2.84
Al 0.2500 0.7500 0.5000  4 Nb 2.84
Nb 0.8750 0.6250 0.7500  2 Nb 2.44
Nb 0.3750 0.6250 0.2500  2 Nb 2.44
Nb 0.3750 0.6250 0.7500  2 Nb 2.44
Nb 0.3750 0.1250 0.2500  2 Nb 2.44
K 0.7500 0.2500 0.5000  4 Al 3.45, 8 Nb 3.74
K 0.0000 0.0000 0.0000  4 Al 3.45, 8 Nb 3.74

Copy entry 3 word for word.
First-principles (PBE) data for a geometry-optimized SrEuI2 structure, as listed in Alexandria via LeMat-Bulk.

Computed properties:
- energy relative to the elements, uncorrected (meV per atom) = -1096

abc: 4.4687 4.4687 11.3593
angles: 78.66 78.66 60.00
Last column: nearest neighbours and their distance in Å.
Fractional positions:
Sr 0.0000 0.0000 0.0000  2 I 3.55
I 0.8931 0.8931 0.3207  3 Eu 3.25, 1 Sr 3.55
I 0.1069 0.1069 0.6793  3 Eu 3.25, 1 Sr 3.55
Eu 0.5000 0.5000 0.5000  6 I 3.25

Copy entry 5 word for word.
First-principles (PBE) data for a geometry-optimized MoH3Br structure, as listed in Alexandria via LeMat-Bulk.

Computed properties:
- electronic total energy (eV for the cell shown) = -19.32

abc: 3.7732 3.7732 3.7732
angles: 90.00 90.00 90.00
Last column: nearest neighbours and their distance in Å.
Fractional positions:
Mo 0.0000 0.0000 0.0000  6 H 1.89
H 0.0000 0.0000 0.5000  2 Mo 1.89
H 0.5000 0.0000 0.0000  2 Mo 1.89
H 0.0000 0.5000 0.0000  2 Mo 1.89
Br 0.5000 0.5000 0.5000  12 H 2.67